1.
Below is an optimized crystal structure of KTi2HRu, with properties calculated at the PBE level.

```
KTi2HRu
1.0
-4.605 0.233 -0.317
0.239 -0.189 -3.604
-0.249 -4.610 0.225
Ru K H Ti
1 1 1 2
direct
0.000 0.500 0.000
0.500 0.500 0.500
0.000 0.000 0.000
0.000 0.000 0.500
0.500 0.000 0.000
```

Uncorrected energy in eV for the cell shown: -25.94
Density in Mg/m³: 5.09
M_tot in Bohr magnetons per cell: 0.0

=====

2.
Below is an optimized crystal structure of K2TlHRu, with properties calculated at the PBE level.

```
K2TlHRu
1.0
-0.583 -4.968 -3.312
2.203 -1.722 2.196
-4.672 -1.692 3.361
Ru Tl K H
1 1 2 1
direct
0.000 0.500 0.000
0.500 0.500 0.500
0.000 0.000 0.500
0.500 0.000 0.000
0.000 0.000 0.000
```

Uncorrected energy in eV for the cell shown: -14.46
Density in Mg/m³: 4.99
M_tot in Bohr magnetons per cell: 1.1

=====

3.
Below is an optimized crystal structure of KZnH6Ru, with properties calculated at the PBE level.

```
KZnH6Ru
1.0
4.767 0.474 -0.356
2.828 3.842 -0.364
-0.412 -0.246 5.809
K Zn H Ru
1 1 6 1
direct
0.005 0.902 0.036
0.701 0.602 0.554
0.080 0.400 0.300
0.274 0.153 0.694
0.551 0.444 0.748
0.972 0.790 0.536
0.526 0.427 0.322
0.498 0.980 0.301
0.393 0.302 0.509
```

Uncorrected energy in eV for the cell shown: -32.75
Density in Mg/m³: 3.59
M_tot in Bohr magnetons per cell: 0.0

=====

4.
Below is an optimized crystal structure of KHS6, with properties calculated at the PBE level.

```
KHS6
1.0
8.861 6.099 1.589
10.591 10.653 3.098
1.526 3.272 8.303
K H S
1 1 6
direct
0.000 0.500 0.500
0.000 0.000 0.000
0.883 0.079 0.689
0.383 0.312 0.800
0.486 0.336 0.113
0.617 0.688 0.200
0.117 0.921 0.311
0.514 0.664 0.887
```

Uncorrected energy in eV for the cell shown: -30.50
Density in Mg/m³: 1.79
M_tot in Bohr magnetons per cell: 0.0

=====

5.
Below is an optimized crystal structure of KH2S2, with properties calculated at the PBE level.

```
KH2S2
1.0
-4.942 2.063 7.736
7.978 -2.811 -4.119
1.261 4.834 -0.614
K H S
2 4 4
direct
0.082 0.918 0.250
0.918 0.082 0.750
0.931 0.656 0.741
0.344 0.069 0.759
0.656 0.931 0.241
0.069 0.344 0.259
0.478 0.522 0.250
0.809 0.191 0.250
0.191 0.809 0.750
0.522 0.478 0.750
```

Uncorrected energy in eV for the cell shown: -36.08
Density in Mg/m³: 1.60
M_tot in Bohr magnetons per cell: 0.4

=====

6.
Below is an optimized crystal structure of KHS, with properties calculated at the PBE level.

```
KHS
1.0
-3.813 -1.975 -2.519
1.938 -3.968 0.176
-2.539 -2.367 5.698
K H S
2 2 2
direct
0.750 0.768 0.763
0.250 0.232 0.237
0.750 0.475 0.393
0.250 0.525 0.607
0.750 0.743 0.257
0.250 0.257 0.743
```

Uncorrected energy in eV for the cell shown: -21.92
Density in Mg/m³: 1.66
M_tot in Bohr magnetons per cell: 0.0

=====

7.
Below is an optimized crystal structure of K2H3S2, with properties calculated at the PBE level.

```
K2H3S2
1.0
-1.654 4.659 0.546
-4.000 -1.485 0.548
1.308 -1.199 6.300
K H S
2 3 2
direct
0.263 0.500 0.771
0.737 0.500 0.229
0.439 0.000 0.444
0.000 0.000 0.000
0.561 0.000 0.556
0.214 0.000 0.207
0.786 0.000 0.793
```

Uncorrected energy in eV for the cell shown: -23.43
Density in Mg/m³: 1.74
M_tot in Bohr magnetons per cell: 0.0

=====

8.
Below is an optimized crystal structure of K7H12S, with properties calculated at the PBE level.

```
K7H12S
1.0
-5.051 -1.653 -5.029
-0.491 -5.969 4.203
-3.864 4.674 4.094
K H S
7 12 1
direct
0.423 0.915 0.209
0.791 0.577 0.085
0.085 0.791 0.577
0.500 0.500 0.500
0.915 0.209 0.423
0.209 0.423 0.915
0.577 0.085 0.791
0.590 0.277 0.173
0.827 0.410 0.723
0.023 0.799 0.930
0.070 0.977 0.201
0.723 0.827 0.410
0.201 0.070 0.977
0.799 0.930 0.023
0.277 0.173 0.590
0.930 0.023 0.799
0.977 0.201 0.070
0.173 0.590 0.277
0.410 0.723 0.827
0.000 0.000 0.000
```

Uncorrected energy in eV for the cell shown: -50.82
Density in Mg/m³: 1.41
M_tot in Bohr magnetons per cell: 0.0

=====

9.
Below is an optimized crystal structure of KH3S, with properties calculated at the PBE level.

```
KH3S
1.0
3.874 0.000 0.000
0.000 3.874 0.000
0.000 0.000 3.874
H K S
3 1 1
direct
0.000 0.500 0.000
0.000 0.000 0.500
0.500 0.000 0.000
0.500 0.500 0.500
0.000 0.000 0.000
```

Uncorrected energy in eV for the cell shown: -14.13
Distance to the lowest polymorph of the same formula in meV per atom: 697
Density in Mg/m³: 2.12
M_tot in Bohr magnetons per cell: 0.0

=====

10.
Below is an optimized crystal structure of KHS5, with properties calculated at the PBE level.

```
KHS5
1.0
5.081 1.722 0.183
-1.173 9.120 -5.069
2.262 -2.609 9.915
K H S
2 2 10
direct
0.000 0.000 0.000
0.500 0.500 0.500
0.750 0.534 0.966
0.250 0.466 0.034
0.544 0.904 0.713
0.614 0.765 0.115
0.044 0.213 0.404
0.750 0.656 0.844
0.886 0.385 0.735
0.114 0.615 0.265
0.250 0.344 0.156
0.956 0.787 0.596
0.386 0.235 0.885
0.456 0.096 0.287
```

Uncorrected energy in eV for the cell shown: -50.44
Density in Mg/m³: 1.71
M_tot in Bohr magnetons per cell: 0.0

=====

Repeat the second record exactly.
Below is an optimized crystal structure of K2TlHRu, with properties calculated at the PBE level.

```
K2TlHRu
1.0
-0.583 -4.968 -3.312
2.203 -1.722 2.196
-4.672 -1.692 3.361
Ru Tl K H
1 1 2 1
direct
0.000 0.500 0.000
0.500 0.500 0.500
0.000 0.000 0.500
0.500 0.000 0.000
0.000 0.000 0.000
```

Uncorrected energy in eV for the cell shown: -14.46
Density in Mg/m³: 4.99
M_tot in Bohr magnetons per cell: 1.1

=====

What is the formula in the fifth record? KH2S2

=====

Among the records above, which one has the highest M_tot? K2TlHRu

=====

What is the formula in the second record? K2TlHRu